A relaxed structure of UTiIn2. Source: Alexandria, functional PBE.

## Properties
The calculation puts the calculated density at 9.411 g/cm³. For the total magnetic moment, the calculation gives 4.0 μB/cell. The value obtained for the raw total energy is -5.9914 eV per atom.

Cell lengths 4.815, 4.347, 4.347 Å; angles 90.00, 90.00, 90.00 degrees
Site moments in Bohr magnetons follow the coordinates.
Element x y z (fractional)
Ti 0.500 0.500 0.500  1.02
U 0.500 0.000 0.000  2.46
In 0.000 0.500 0.000  -0.01
In 0.000 0.000 0.500  -0.01

A relaxed structure of TaCr2Cl. Source: Alexandria, functional PBE.

## Properties
The calculation puts the calculated density at 8.935 g/cm³. For the total magnetic moment, the calculation gives 0.0 μB/cell. As for the formation energy from raw total energies: 0.60 eV/atom.

Cell lengths 5.030, 5.030, 5.030 Å; angles 145.61, 122.81, 68.46 degrees
Element x y z (fractional)
Cr 0.007 0.007 0.000
Cr 0.201 0.701 0.500
Ta 0.519 0.519 0.000
Cl 0.773 0.273 0.500

A relaxed structure of Zr2Zn4Au. Source: Alexandria, functional PBE.

## Properties
The calculation puts the calculated density at 8.362 g/cm³. For the total magnetic moment, the calculation gives 1.7 μB/cell. The value obtained for the raw total energy is -3.6897 eV per atom.

Cell lengths 9.597, 5.379, 5.617 Å; angles 118.61, 90.00, 90.00 degrees
Site moments in Bohr magnetons follow the coordinates.
Element x y z (fractional)
Au 0.000 0.000 0.000  0.02
Au 0.500 0.500 0.000  0.02
Zn 0.250 0.501 0.500  0.02
Zn 0.250 0.749 0.000  0.00
Zn 0.750 0.251 0.000  0.00
Zn 0.250 0.249 0.000  0.00
Zn 0.750 0.999 0.500  0.02
Zn 0.750 0.499 0.500  0.02
Zn 0.250 0.001 0.500  0.02
Zn 0.750 0.751 0.000  0.00
Zr 0.500 0.837 0.674  0.25
Zr 0.500 0.163 0.326  0.25
Zr 0.000 0.337 0.674  0.25
Zr 0.000 0.663 0.326  0.25

A relaxed structure of Na4VRh3S8. Source: Alexandria, functional PBE.

## Properties
The calculation puts the calculated density at 4.061 g/cm³. For the total magnetic moment, the calculation gives 2.0 μB/cell. As for the formation energy from raw total energies: -0.80 eV/atom.

Cell lengths 7.255, 7.610, 7.257 Å; angles 118.51, 120.00, 90.00 degrees
Site moments in Bohr magnetons follow the coordinates.
Element x y z (fractional)
Na 0.500 0.000 0.000  0.00
Na 0.000 0.000 0.000  0.00
Na 0.000 0.000 0.500  0.00
Na 0.500 0.000 0.500  0.00
S 0.767 0.305 0.533  -0.03
S 0.271 0.313 0.542  0.01
S 0.271 0.305 0.038  -0.03
S 0.233 0.695 0.467  -0.03
S 0.767 0.305 0.038  -0.03
S 0.729 0.687 0.458  0.01
S 0.233 0.695 0.962  -0.03
S 0.729 0.695 0.962  -0.03
Rh 0.500 0.500 0.000  0.05
Rh 0.500 0.500 0.500  0.05
Rh 0.000 0.500 0.500  0.05
V 0.000 0.500 0.000  1.78

A relaxed structure of Cu2SiAgSe. Source: Alexandria, functional PBE.

## Properties
The calculation puts the calculated density at 5.333 g/cm³. For the total magnetic moment, the calculation gives 0.0 μB/cell. As for the formation energy from raw total energies: 0.90 eV/atom.

Cell lengths 4.799, 4.624, 4.799 Å; angles 90.00, 90.00, 90.00 degrees
Element x y z (fractional)
Ag 0.000 0.000 0.000
Se 0.500 0.500 0.500
Cu 0.500 0.000 0.000
Cu 0.000 0.000 0.500
Si 0.000 0.500 0.000

A relaxed structure of AgAu2. Source: Alexandria, functional PBE.

## Properties
The calculation puts the calculated density at 14.204 g/cm³. For the total magnetic moment, the calculation gives 0.0 μB/cell. The value obtained for the raw total energy is -3.0857 eV per atom.

Cell lengths 5.495, 5.495, 5.495 Å; angles 60.00, 60.00, 60.00 degrees
Element x y z (fractional)
Au 0.500 0.500 0.500
Au 0.000 0.500 0.500
Au 0.500 0.500 0.000
Au 0.500 0.000 0.500
Ag 0.875 0.875 0.875
Ag 0.125 0.125 0.125

A relaxed structure of CaZrB2H. Source: Alexandria, functional PBE.

## Properties
The calculation puts the calculated density at 2.041 g/cm³. For the total magnetic moment, the calculation gives 0.5 μB/cell. The value obtained for the raw total energy is -3.8574 eV per atom.

Cell lengths 4.283, 6.829, 4.283 Å; angles 90.00, 90.00, 90.00 degrees
Site moments in Bohr magnetons follow the coordinates.
Element x y z (fractional)
B 0.500 0.000 0.000  -0.01
B 0.000 0.000 0.500  -0.01
Ca 0.000 0.500 0.000  0.08
H 0.500 0.500 0.500  0.02
Zr 0.000 0.000 0.000  0.17

A relaxed structure of ErBClF6. Source: Alexandria, functional PBE.

## Properties
The calculation puts the calculated density at 3.194 g/cm³. For the total magnetic moment, the calculation gives 1.0 μB/cell. As for the formation energy from raw total energies: -2.54 eV/atom.

Cell lengths 5.249, 5.249, 7.137 Å; angles 89.94, 89.96, 59.99 degrees
Site moments in Bohr magnetons follow the coordinates.
Element x y z (fractional)
F 0.585 0.340 0.633  0.01
F 0.340 0.074 0.633  0.01
F 0.075 0.340 0.367  0.01
F 0.075 0.585 0.633  0.01
F 0.585 0.075 0.367  0.01
F 0.340 0.585 0.367  0.01
Er 0.667 0.667 0.500  0.00
Cl 0.000 0.000 0.000  0.70
B 0.333 0.333 0.500  0.00

Among the records above, which one has the highest total magnetic moment?
UTiIn2